No. 1
Here is a relaxed structure of Cs2K2Rb from the Alexandria database. Energies are from PBEsol.

For the energy of formation from the pure elements, the calculation gives 5 kJ/mol of atoms. The uncorrected energy comes out at -0.978 eV/atom.

It has space group I4/mmm (No. 139), with a = 5.950 Å, b = 5.950 Å, c = 26.544 Å, α = 90.00°, β = 90.00° and γ = 90.00°. Symmetry generates all atoms from Cs at (0.000, 0.000, 0.103), K at (0.000, 0.500, 0.250) and Rb at (0.000, 0.000, 0.500).

---

No. 2
Here is a relaxed structure of CsK3Ru from the Alexandria database. Energies are from PBEsol.

For the energy of formation from the pure elements, the calculation gives 91 kJ/mol of atoms. The uncorrected energy comes out at -1.962 eV/atom.

It has space group Pm-3m (No. 221), with a = 6.349 Å, b = 6.349 Å, c = 6.349 Å, α = 90.00°, β = 90.00° and γ = 90.00°. Symmetry generates all atoms from Cs at (0.000, 0.000, 0.000), K at (0.000, 0.500, 0.500) and Ru at (0.500, 0.500, 0.500).

---

No. 3
Here is a relaxed structure of CsKS2 from the Alexandria database. Energies are from PBEsol.

The uncorrected formation energy comes out at -0.607 eV per atom. The uncorrected energy comes out at -3.318 eV/atom.

It has space group I-42d (No. 122), with a = 5.116 Å, b = 5.116 Å, c = 20.377 Å, α = 90.00°, β = 90.00° and γ = 90.00°. Symmetry generates all atoms from Cs at (0.000, 0.000, 0.000), K at (0.000, 0.000, 0.500) and S at (0.056, 0.250, 0.625).

---

No. 4
Here is a relaxed structure of CsK2S2 from the Alexandria database. Energies are from PBEsol.

The uncorrected formation energy comes out at -0.864 eV per atom. The uncorrected energy comes out at -3.260 eV/atom.

It has space group P4/mbm (No. 127), with a = 9.024 Å, b = 9.024 Å, c = 3.468 Å, α = 90.00°, β = 90.00° and γ = 90.00°. Symmetry generates all atoms from Cs at (0.000, 0.000, 0.000), K at (0.123, 0.377, 0.000) and S at (0.174, 0.674, 0.500).

---

No. 5
Here is a relaxed structure of CsK2Sb2 from the Alexandria database. Energies are from PBEsol.

The uncorrected formation energy comes out at -0.332 eV per atom. The uncorrected energy comes out at -2.797 eV/atom.

It has space group P4/mbm (No. 127), with a = 9.351 Å, b = 9.351 Å, c = 4.855 Å, α = 90.00°, β = 90.00° and γ = 90.00°. Symmetry generates all atoms from Cs at (0.000, 0.000, 0.000), K at (0.170, 0.330, 0.500) and Sb at (0.106, 0.606, 0.000).

---

No. 6
Here is a relaxed structure of CsKSbTe2 from the Alexandria database. Energies are from PBEsol.

The uncorrected formation energy comes out at 0.278 eV per atom. The uncorrected energy comes out at -2.459 eV/atom.

It has space group P4/mmm (No. 123), with a = 6.079 Å, b = 6.079 Å, c = 5.882 Å, α = 90.00°, β = 90.00° and γ = 90.00°. Symmetry generates all atoms from Cs at (0.000, 0.000, 0.000), K at (0.500, 0.500, 0.500), Sb at (0.500, 0.500, 0.000) and Te at (0.000, 0.500, 0.500).

---

No. 7
Here is a relaxed structure of CsKSe2 from the Alexandria database. Energies are from PBEsol.

The uncorrected formation energy comes out at -0.712 eV per atom. The uncorrected energy comes out at -3.157 eV/atom.

It has space group I-42d (No. 122), with a = 5.437 Å, b = 5.437 Å, c = 21.181 Å, α = 90.00°, β = 90.00° and γ = 90.00°. Symmetry generates all atoms from Cs at (0.000, 0.000, 0.000), K at (0.000, 0.000, 0.500) and Se at (0.063, 0.250, 0.625).

---

No. 8
Here is a relaxed structure of CsK2Se2 from the Alexandria database. Energies are from PBEsol.

The uncorrected formation energy comes out at -0.762 eV per atom. The uncorrected energy comes out at -2.944 eV/atom.

It has space group I4/mmm (No. 139), with a = 5.936 Å, b = 5.936 Å, c = 10.961 Å, α = 90.00°, β = 90.00° and γ = 90.00°. Symmetry generates all atoms from Cs at (0.000, 0.000, 0.000), K at (0.000, 0.000, 0.340) and Se at (0.000, 0.500, 0.250).

---

No. 9
Here is a relaxed structure of CsK3Si from the Alexandria database. Energies are from PBEsol.

The uncorrected formation energy comes out at 1.034 eV per atom. The uncorrected energy comes out at -0.984 eV/atom.

It has space group Pm-3m (No. 221), with a = 7.423 Å, b = 7.423 Å, c = 7.423 Å, α = 90.00°, β = 90.00° and γ = 90.00°. Symmetry generates all atoms from Cs at (0.000, 0.000, 0.000), K at (0.000, 0.000, 0.500) and Si at (0.500, 0.500, 0.500).

---

No. 10
Here is a relaxed structure of CsK3Tc from the Alexandria database. Energies are from PBEsol.

For the energy of formation from the pure elements, the calculation gives 109 kJ/mol of atoms. The uncorrected energy comes out at -1.989 eV/atom.

It has space group Pm-3m (No. 221), with a = 6.661 Å, b = 6.661 Å, c = 6.661 Å, α = 90.00°, β = 90.00° and γ = 90.00°. Symmetry generates all atoms from Cs at (0.000, 0.000, 0.000), K at (0.000, 0.500, 0.500) and Tc at (0.500, 0.500, 0.500).

---

No. 11
Here is a relaxed structure of CsK2Te2 from the Alexandria database. Energies are from PBEsol.

The uncorrected formation energy comes out at -0.903 eV per atom. The uncorrected energy comes out at -2.955 eV/atom.

It has space group P4/mbm (No. 127), with a = 9.980 Å, b = 9.980 Å, c = 3.720 Å, α = 90.00°, β = 90.00° and γ = 90.00°. Symmetry generates all atoms from Cs at (0.000, 0.000, 0.000), K at (0.121, 0.379, 0.000) and Te at (0.176, 0.676, 0.500).

---

No. 12
Here is a relaxed structure of Cs3KZr from the Alexandria database. Energies are from PBEsol.

For the energy of formation from the pure elements, the calculation gives 85 kJ/mol of atoms. The uncorrected energy comes out at -1.724 eV/atom.

It has space group Pm-3m (No. 221), with a = 7.226 Å, b = 7.226 Å, c = 7.226 Å, α = 90.00°, β = 90.00° and γ = 90.00°. Symmetry generates all atoms from Cs at (0.000, 0.000, 0.500), K at (0.500, 0.500, 0.500) and Zr at (0.000, 0.000, 0.000).

---

No. 13
Here is a relaxed structure of CsLiLa2 from the Alexandria database. Energies are from PBEsol.

For the energy of formation from the pure elements, the calculation gives 47 kJ/mol of atoms. The uncorrected energy comes out at -2.916 eV/atom.

It has space group Fm-3m (No. 225), with a = 8.071 Å, b = 8.071 Å, c = 8.071 Å, α = 90.00°, β = 90.00° and γ = 90.00°. Symmetry generates all atoms from Cs at (0.000, 0.000, 0.000), Li at (0.000, 0.000, 0.500) and La at (0.250, 0.250, 0.250).

---

No. 14
Here is a relaxed structure of CsLi2LaSb from the Alexandria database. Energies are from PBEsol.

The uncorrected formation energy comes out at 0.285 eV per atom. The uncorrected energy comes out at -2.671 eV/atom.

It has space group P4/mmm (No. 123), with a = 6.313 Å, b = 6.313 Å, c = 6.022 Å, α = 90.00°, β = 90.00° and γ = 90.00°. Symmetry generates all atoms from Cs at (0.000, 0.000, 0.000), Li at (0.000, 0.500, 0.500), La at (0.500, 0.500, 0.500) and Sb at (0.500, 0.500, 0.000).

---

No. 15
Here is a relaxed structure of CsLaPO2 from the Alexandria database. Energies are from PBEsol.

The uncorrected formation energy comes out at -0.160 eV per atom. The uncorrected energy comes out at -4.676 eV/atom.

It has space group P4/mmm (No. 123), with a = 4.452 Å, b = 4.452 Å, c = 5.456 Å, α = 90.00°, β = 90.00° and γ = 90.00°. Symmetry generates all atoms from Cs at (0.000, 0.000, 0.000), La at (0.500, 0.500, 0.500), P at (0.000, 0.000, 0.500) and O at (0.000, 0.500, 0.000).

---

No. 16
Here is a relaxed structure of CsLaS2O8 from the Alexandria database. Energies are from PBEsol.

The uncorrected formation energy comes out at -2.167 eV per atom. The uncorrected energy comes out at -6.921 eV/atom.

It has space group P2_1/c (No. 14), with a = 7.908 Å, b = 5.492 Å, c = 18.620 Å, α = 90.00°, β = 113.58° and γ = 90.00°. Symmetry generates all atoms from Cs at (0.025, 0.230, 0.386), La at (0.494, 0.685, 0.362), S at (0.295, 0.233, 0.253), S at (0.350, 0.743, 0.022), O at (0.212, 0.054, 0.776), O at (0.219, 0.209, 0.166), O at (0.238, 0.562, 0.538), O at (0.264, 0.007, 0.289), O at (0.302, 0.719, 0.937), O at (0.313, 0.506, 0.052), O at (0.454, 0.185, 0.935) and O at (0.499, 0.216, 0.780).

---

No. 17
Here is a relaxed structure of CsLaW2O8 from the Alexandria database. Energies are from PBEsol.

The uncorrected formation energy comes out at -2.545 eV per atom. The uncorrected energy comes out at -8.870 eV/atom.

It has space group C2/c (No. 15), with a = 10.910 Å, b = 10.917 Å, c = 7.627 Å, α = 90.00°, β = 130.09° and γ = 90.00°. Symmetry generates all atoms from Cs at (0.000, 0.198, 0.250), La at (0.000, 0.227, 0.750), W at (0.190, 0.496, 0.725), O at (0.023, 0.395, 0.975), O at (0.137, 0.076, 0.698), O at (0.184, 0.438, 0.436) and O at (0.231, 0.156, 0.141).

---

No. 18
Here is a relaxed structure of Cs2LaOs2 from the Alexandria database. Energies are from PBEsol.

For the energy of formation from the pure elements, the calculation gives 129 kJ/mol of atoms. The uncorrected energy comes out at -4.996 eV/atom.

It has space group I4/mmm (No. 139), with a = 4.484 Å, b = 4.484 Å, c = 15.000 Å, α = 90.00°, β = 90.00° and γ = 90.00°. Symmetry generates all atoms from Cs at (0.000, 0.500, 0.250), La at (0.000, 0.000, 0.000) and Os at (0.000, 0.000, 0.426).

---

No. 19
Here is a relaxed structure of CsLa2ReP from the Alexandria database. Energies are from PBEsol.

For the energy of formation from the pure elements, the calculation gives 53 kJ/mol of atoms. The uncorrected energy comes out at -5.597 eV/atom.

It has space group P4/mmm (No. 123), with a = 5.394 Å, b = 5.394 Å, c = 5.418 Å, α = 90.00°, β = 90.00° and γ = 90.00°. Symmetry generates all atoms from Cs at (0.000, 0.000, 0.000), La at (0.000, 0.500, 0.500), Re at (0.000, 0.000, 0.500) and P at (0.500, 0.500, 0.000).

---

No. 20
Here is a relaxed structure of CsLa2ZnP from the Alexandria database. Energies are from PBEsol.

For the energy of formation from the pure elements, the calculation gives 26 kJ/mol of atoms. The uncorrected energy comes out at -3.537 eV/atom.

It has space group P4/mmm (No. 123), with a = 5.695 Å, b = 5.695 Å, c = 4.680 Å, α = 90.00°, β = 90.00° and γ = 90.00°. Symmetry generates all atoms from Cs at (0.000, 0.000, 0.000), La at (0.000, 0.500, 0.500), Zn at (0.500, 0.500, 0.500) and P at (0.500, 0.500, 0.000).